Here is KPr2Pt after structural relaxation from Alexandria via LeMat-Bulk. Energies are from PBE.

- ΔH_f (0 K): -408 meV per atom
- Total energy: -18.33 eV for the cell shown

a = 4.322 Å, b = 4.322 Å, c = 11.656 Å
α = 79.32°, β = 79.32°, γ = 60.00°
Fractional positions:
Pr (0.123, 0.123, 0.630)
Pr (0.877, 0.877, 0.370)
K (0.000, 0.000, 0.000)
Pt (0.500, 0.500, 0.500)